Entry 1:
First-principles (GGA-PBE) data for a relaxed structure of KH6I, as listed in the Alexandria database.

```
KH6I
1.0
-3.996 1.442 -2.097
-1.063 -4.515 -0.967
1.671 2.229 7.409
H I K
6 1 1
Direct
0.459 0.459 0.016 H
0.938 0.285 0.250 H
0.541 0.541 0.984 H
0.715 0.062 0.750 H
0.062 0.715 0.750 H
0.285 0.938 0.250 H
0.000 0.000 0.000 I
0.000 0.000 0.500 K
```

Values from the calculation:
For the magnetic moment, the calculation gives 0.00 μB per formula unit.

Entry 2:
First-principles (GGA-PBE) data for a relaxed structure of ScMnBeCr2, as listed in the Alexandria database.

```
ScMnBeCr2
1.0
-2.435 0.130 3.378
-1.197 -3.927 -0.712
3.573 -1.567 2.635
Mn Cr Sc Be
1 2 1 1
Direct
0.000 0.000 0.000 Mn
0.500 0.000 0.000 Cr
0.000 0.500 0.000 Cr
0.000 0.000 0.500 Sc
0.500 0.500 0.500 Be
```

Values from the calculation:
For the magnetic moment, the calculation gives 0.00 μB per formula unit. For the formation energy, the calculation gives 101.4 kJ per mole of atoms.

What did we get for electronic total energy? Answer: -2.54; -6.64 eV/atom, in the order shown.